w.
# TaTlSi2

TaTlSi2 at its PBEsol-relaxed geometry (SCAN, Alexandria). Values from VASP.

Calculated values
**SG**: Imm2

Structure (Quantum ESPRESSO input):
```
&SYSTEM
  ibrav = 0, nat = 8, ntyp = 3
/
ATOMIC_SPECIES
Ta 180.95 Ta.upf
Tl 204.38 Tl.upf
Si 28.09 Si.upf
ATOMIC_POSITIONS angstrom
Ta 0.000 0.000 0.000
Ta 1.664 2.339 4.382
Tl 0.000 2.339 6.836
Tl 1.664 0.000 2.454
Si 0.000 0.000 4.754
Si 0.000 2.339 2.140
Si 1.664 0.000 6.522
Si 1.664 2.339 0.372
CELL_PARAMETERS angstrom
3.328 0.000 0.000
0.000 4.678 0.000
0.000 0.000 8.764
```

***

x.
# TaTlSi2

TaTlSi2 at its PBEsol-relaxed geometry (SCAN, Alexandria). Values from VASP.

Calculated values
**SG**: F-43m

Structure (Quantum ESPRESSO input):
```
&SYSTEM
  ibrav = 0, nat = 16, ntyp = 3
/
ATOMIC_SPECIES
Ta 180.95 Ta.upf
Tl 204.38 Tl.upf
Si 28.09 Si.upf
ATOMIC_POSITIONS angstrom
Ta 0.000 0.000 0.000
Ta 0.000 3.298 3.298
Ta 3.298 0.000 3.298
Ta 3.298 3.298 0.000
Tl 1.649 1.649 1.649
Tl 1.649 4.947 4.947
Tl 4.947 1.649 4.947
Tl 4.947 4.947 1.649
Si 0.000 0.000 3.298
Si 0.000 3.298 0.000
Si 1.649 1.649 4.947
Si 1.649 4.947 1.649
Si 3.298 0.000 0.000
Si 3.298 3.298 3.298
Si 4.947 1.649 1.649
Si 4.947 4.947 4.947
CELL_PARAMETERS angstrom
6.596 0.000 0.000
0.000 6.596 0.000
0.000 0.000 6.596
```

***

y.
# TaTlSi2

TaTlSi2 at its PBEsol-relaxed geometry (SCAN, Alexandria). Values from VASP.

Calculated values
**SG**: Immm

Structure (Quantum ESPRESSO input):
```
&SYSTEM
  ibrav = 0, nat = 8, ntyp = 3
/
ATOMIC_SPECIES
Ta 180.95 Ta.upf
Tl 204.38 Tl.upf
Si 28.09 Si.upf
ATOMIC_POSITIONS angstrom
Ta 0.000 0.000 0.000
Ta 1.786 2.313 4.155
Tl 0.000 0.000 4.155
Tl 1.786 2.313 0.000
Si 0.000 2.313 2.137
Si 0.000 2.313 6.173
Si 1.786 0.000 2.018
Si 1.786 0.000 6.292
CELL_PARAMETERS angstrom
3.572 0.000 0.000
0.000 4.625 0.000
0.000 0.000 8.310
```

***

Q: Which of them is the most stable? A: y.